(1)
! PBE NdPaCdO6, relaxed; values from VASP
! SG = No. 149
! ΔE_f (raw) = -2.2953 eV/atom
! V = 141 Å³/f.u.
&SYSTEM
  ibrav = 0, nat = 9, ntyp = 4
/
ATOMIC_SPECIES
O 16.00 O.upf
Pa 231.04 Pa.upf
Cd 112.41 Cd.upf
Nd 144.24 Nd.upf
ATOMIC_POSITIONS angstrom
O 3.670 -0.855 1.763
O 3.670 1.787 3.378
O 1.215 0.933 4.858
O 3.670 -0.933 4.858
O 1.215 -1.787 3.378
O 1.215 0.855 1.763
Pa 0.000 0.000 3.333
Cd 2.443 0.000 0.000
Nd 2.443 2.886 1.666
CELL_PARAMETERS angstrom
4.885 0.000 0.000
0.000 5.773 0.000
0.000 -2.886 4.999

---

(2)
! PBE NbCrTc3, relaxed; values from VASP
! SG = No. 221
! V = 100 Å³/f.u.
! energy relative to the elements = 2134 meV/atom
&SYSTEM
  ibrav = 0, nat = 5, ntyp = 3
/
ATOMIC_SPECIES
Tc 98.00 Tc.upf
Cr 52.00 Cr.upf
Nb 92.91 Nb.upf
ATOMIC_POSITIONS angstrom
Tc 0.000 0.000 2.321
Tc 0.000 2.321 0.000
Tc 2.321 0.000 0.000
Cr 2.321 2.321 2.321
Nb 0.000 0.000 0.000
CELL_PARAMETERS angstrom
4.642 0.000 0.000
0.000 4.642 0.000
0.000 0.000 4.642

---

(3)
! PBE SnPdN2, relaxed; values from VASP
! SG = No. 166
! ΔE_f (raw) = 0.5667 eV/atom
! V = 57 Å³/f.u.
&SYSTEM
  ibrav = 0, nat = 4, ntyp = 3
/
ATOMIC_SPECIES
Sn 118.71 Sn.upf
N 14.01 N.upf
Pd 106.42 Pd.upf
ATOMIC_POSITIONS angstrom
Sn 0.000 0.000 9.358
N 0.000 0.000 16.745
N 0.000 0.000 1.970
Pd 0.000 0.000 0.000
CELL_PARAMETERS angstrom
1.872 0.000 6.238
-0.936 1.621 6.238
-0.936 -1.621 6.238

---

(4)
! PBE CaLa2Ag, relaxed; values from VASP
! SG = No. 12
! V = 127 Å³/f.u.
! energy relative to the elements = 65 meV/atom
&SYSTEM
  ibrav = 0, nat = 4, ntyp = 3
/
ATOMIC_SPECIES
Ca 40.08 Ca.upf
La 138.91 La.upf
Ag 107.87 Ag.upf
ATOMIC_POSITIONS angstrom
Ca -0.877 -3.361 2.250
La 0.000 0.000 0.000
La -0.076 -3.087 -1.125
Ag -2.394 -1.382 -3.080
CELL_PARAMETERS angstrom
-1.593 -1.108 -6.455
1.442 -5.067 4.205
-3.196 -1.656 0.295

---

(5)
! PBE Cu2TeSe, relaxed; values from VASP
! SG = No. 12
! ΔE_f (raw) = 0.1340 eV/atom
! V = 80 Å³/f.u.
&SYSTEM
  ibrav = 0, nat = 4, ntyp = 3
/
ATOMIC_SPECIES
Se 78.96 Se.upf
Cu 63.55 Cu.upf
Te 127.60 Te.upf
ATOMIC_POSITIONS angstrom
Se -2.669 2.753 1.129
Cu 0.000 0.000 0.000
Cu -1.612 0.637 2.296
Te 0.263 2.162 3.352
CELL_PARAMETERS angstrom
-4.544 1.228 0.073
1.321 0.047 4.518
-0.795 4.277 2.185

---

(6)
! PBE MgNi2, relaxed; values from VASP
! SG = No. 123
! V = 46 Å³/f.u.
! energy relative to the elements = 189 meV/atom
&SYSTEM
  ibrav = 0, nat = 3, ntyp = 2
/
ATOMIC_SPECIES
Ni 58.69 Ni.upf
Mg 24.30 Mg.upf
ATOMIC_POSITIONS angstrom
Ni 1.651 0.000 2.115
Ni 0.000 1.651 2.115
Mg 0.000 0.000 0.000
CELL_PARAMETERS angstrom
3.302 0.000 0.000
0.000 3.302 0.000
0.000 0.000 4.231

---

(7)
! PBE TbCeCdPb, relaxed; values from VASP
! SG = No. 119
! V = 112 Å³/f.u.
! energy relative to the elements = -332 meV/atom
&SYSTEM
  ibrav = 0, nat = 4, ntyp = 4
/
ATOMIC_SPECIES
Ce 140.12 Ce.upf
Pb 207.20 Pb.upf
Tb 158.93 Tb.upf
Cd 112.41 Cd.upf
ATOMIC_POSITIONS angstrom
Ce 0.000 2.512 2.213
Pb 2.512 2.512 0.000
Tb 2.512 0.000 2.213
Cd 0.000 0.000 0.000
CELL_PARAMETERS angstrom
5.025 0.000 0.000
0.000 5.025 0.000
-2.512 -2.512 4.426

---

(8)
! PBE In4Ag3, relaxed; values from VASP
! SG = No. 147
! V = 159 Å³/f.u.
! energy relative to the elements = 13 meV/atom
&SYSTEM
  ibrav = 0, nat = 21, ntyp = 2
/
ATOMIC_SPECIES
In 114.82 In.upf
Ag 107.87 Ag.upf
ATOMIC_POSITIONS angstrom
In 2.746 2.263 1.602
In 0.910 8.380 4.543
In 0.978 5.289 7.682
In 0.910 2.519 -1.159
In 0.910 10.387 -3.384
In 2.678 6.634 2.277
In 2.678 9.298 -0.739
In 2.746 8.124 7.304
In 0.978 4.009 3.868
In 2.746 0.256 9.528
In 2.678 5.354 -1.538
In 0.978 1.345 6.884
Ag 0.874 7.520 -2.772
Ag 0.874 4.482 1.018
Ag 0.838 7.095 0.000
Ag 2.782 1.360 4.391
Ag 1.828 0.000 0.000
Ag 2.782 6.161 5.127
Ag 2.818 3.548 6.145
Ag 0.874 9.283 1.754
Ag 2.782 3.122 8.916
CELL_PARAMETERS angstrom
3.656 0.000 0.000
0.000 10.643 -6.145
0.000 0.000 12.289

---

(9)
! PBE TaNbSn2C, relaxed; values from VASP
! SG = No. 123
! V = 115 Å³/f.u.
! energy relative to the elements = 1365 meV/atom
&SYSTEM
  ibrav = 0, nat = 5, ntyp = 4
/
ATOMIC_SPECIES
Nb 92.91 Nb.upf
Sn 118.71 Sn.upf
C 12.01 C.upf
Ta 180.95 Ta.upf
ATOMIC_POSITIONS angstrom
Nb 2.686 1.992 2.686
Sn 0.000 0.000 2.686
Sn 2.686 0.000 0.000
C 0.000 1.992 0.000
Ta 0.000 0.000 0.000
CELL_PARAMETERS angstrom
5.371 0.000 0.000
0.000 3.983 0.000
0.000 0.000 5.371

---

(10)
! PBE CsAgCl2, relaxed; values from VASP
! SG = No. 160
! ΔE_f (raw) = -1.1154 eV/atom
! V = 122 Å³/f.u.
&SYSTEM
  ibrav = 0, nat = 4, ntyp = 3
/
ATOMIC_SPECIES
Ag 107.87 Ag.upf
Cl 35.45 Cl.upf
Cs 132.91 Cs.upf
ATOMIC_POSITIONS angstrom
Ag -3.005 -9.879 2.262
Cl -0.172 -5.643 3.323
Cl -1.247 -2.598 -0.006
Cs -2.278 -5.809 0.658
CELL_PARAMETERS angstrom
-3.980 -1.732 -0.299
-0.744 -3.280 -2.760
0.153 -6.564 4.330

---

(11)
! PBE KAs2Ir3, relaxed; values from VASP
! SG = No. 12
! V = 125 Å³/f.u.
! energy relative to the elements = -227 meV/atom
&SYSTEM
  ibrav = 0, nat = 12, ntyp = 3
/
ATOMIC_SPECIES
As 74.92 As.upf
K 39.10 K.upf
Ir 192.22 Ir.upf
ATOMIC_POSITIONS angstrom
As 1.975 -5.066 -5.533
As 3.393 -3.792 -1.918
As 0.319 -2.558 0.777
As -1.098 -3.832 -2.839
K 3.033 -7.005 -2.943
K -0.739 -0.619 -1.814
Ir 0.612 -4.028 -1.156
Ir 1.683 -3.596 -3.601
Ir -0.596 -2.818 -5.046
Ir 2.891 -4.806 0.290
Ir -0.263 -5.525 -4.484
Ir 2.558 -2.099 -0.272
CELL_PARAMETERS angstrom
-2.137 -2.843 1.840
-2.881 0.208 -7.382
7.313 -4.990 0.786

---

(12)
! PBE KTa2V, relaxed; values from VASP
! SG = No. 225
! V = 77 Å³/f.u.
! energy relative to the elements = 1572 meV/atom
&SYSTEM
  ibrav = 0, nat = 4, ntyp = 3
/
ATOMIC_SPECIES
Ta 180.95 Ta.upf
V 50.94 V.upf
K 39.10 K.upf
ATOMIC_POSITIONS angstrom
Ta -2.892 -8.191 1.122
Ta -0.964 -2.730 0.374
V -1.928 -5.460 0.748
K 0.000 0.000 0.000
CELL_PARAMETERS angstrom
-1.231 -3.286 3.228
-3.562 -3.031 -0.923
0.937 -4.604 -0.809

---

Number 1: total magnetization 1.85 μB/f.u., energy -65.586 eV/cell. Number 2: total magnetization 0.02 μB/f.u., energy -40.119 eV/cell. Number 3: total magnetization 0.00 μB/f.u., energy -23.580 eV/cell. Number 4: total magnetization 0.00 μB/f.u., energy -14.446 eV/cell. Number 5: total magnetization 0.00 μB/f.u., energy -14.283 eV/cell. Number 6: total magnetization 0.45 μB/f.u., energy -12.591 eV/cell. Number 7: total magnetization 1.48 μB/f.u., energy -16.514 eV/cell. Number 8: total magnetization 0.00 μB/f.u., energy -58.244 eV/cell. Number 9: total magnetization 0.02 μB/f.u., energy -32.329 eV/cell. Number 10: total magnetization 0.00 μB/f.u., energy -11.860 eV/cell. Number 11: total magnetization 0.00 μB/f.u., energy -76.685 eV/cell. Number 12: total magnetization 0.00 μB/f.u., energy -27.634 eV/cell.